No. 1
MnSiO3 PBEsol optimized geometry; raw formation energy = -10.8 eV per formula unit
1.0
9.5065 0.0000 0.0000
0.0000 9.2494 0.0000
-1.1419 0.0000 5.2558
Mn Si O
8 8 24
Cartesian
2.3735 0.0419 0.0196
1.8025 4.5828 2.6475
2.3755 5.9948 0.0166
1.8046 7.8794 2.6445
6.5600 1.3701 2.6113
5.9890 3.2547 5.2392
6.5621 4.6667 2.6083
5.9911 9.2075 5.2362
0.1486 1.5175 1.4487
-0.4224 3.1072 4.0766
3.4607 1.5240 3.7660
4.0317 3.1007 1.1381
4.3329 6.1487 4.1177
4.9039 7.7255 1.4898
8.7870 6.1422 1.1792
8.2160 7.7319 3.8071
0.3479 2.1696 2.9494
0.9189 2.4552 0.3215
0.8979 0.0812 1.3811
0.3269 4.5435 4.0090
0.8841 6.1152 1.5108
0.3131 7.7590 4.1387
2.6836 0.1074 3.8991
3.2546 4.5173 1.2712
2.7299 6.1087 3.7792
3.3008 7.7655 1.1513
3.2912 2.0864 2.2220
2.7202 2.5383 4.8499
5.6444 6.7111 0.4059
5.0734 7.1630 3.0338
5.0637 1.4840 4.1045
5.6347 3.1408 1.4766
5.1100 4.7322 3.9845
5.6809 9.1420 1.3567
8.0514 1.4904 1.1171
7.4805 3.1343 3.7450
8.0377 4.7059 1.2468
7.4667 9.1682 3.8747
7.4457 6.7943 4.9343
8.0166 7.0799 2.3064

=====

No. 2
Ba3NaIr PBEsol optimized geometry; energy of formation from the pure elements = -0.042 eV/atom
1.0
6.1106 0.0000 0.0000
0.0000 6.1106 0.0000
0.0000 0.0000 6.1106
Ba Na Ir
3 1 1
Cartesian
0.0000 0.0000 3.0553
0.0000 3.0553 0.0000
3.0553 0.0000 0.0000
3.0553 3.0553 3.0553
0.0000 0.0000 0.0000

=====

No. 3
ZrTl2Cl PBEsol optimized geometry; raw formation energy = -2.4 eV per formula unit
1.0
3.3037 0.0000 0.0000
-1.6519 2.8611 0.0000
0.0000 0.0000 31.0143
Zr Tl Cl
3 6 3
Cartesian
0.0000 0.0000 0.0000
0.0000 1.9074 20.6762
1.6519 0.9537 10.3381
0.0000 0.0000 7.8805
0.0000 0.0000 15.4801
0.0000 1.9074 5.1420
0.0000 1.9074 28.5567
1.6519 0.9537 18.2186
1.6519 0.9537 25.8182
0.0000 0.0000 22.4144
0.0000 1.9074 12.0763
1.6519 0.9537 1.7382

=====

No. 4
Y3CrFe PBEsol optimized geometry; energy of formation from the pure elements = 0.472 eV/atom
1.0
5.0638 0.0000 0.0000
0.0000 5.0638 0.0000
0.0000 0.0000 5.0638
Y Cr Fe
3 1 1
Cartesian
0.0000 0.0000 2.5319
0.0000 2.5319 0.0000
2.5319 0.0000 0.0000
2.5319 2.5319 2.5319
0.0000 0.0000 0.0000

=====

No. 5
FeReRu3 PBEsol optimized geometry; energy of formation from the pure elements = 1.720 eV/atom
1.0
4.2395 0.0000 0.0000
0.0000 4.2395 0.0000
0.0000 0.0000 4.2395
Fe Re Ru
1 1 3
Cartesian
0.0000 0.0000 0.0000
2.1197 2.1197 2.1197
0.0000 0.0000 2.1197
0.0000 2.1197 0.0000
2.1197 0.0000 0.0000

=====

No. 6
NiPPd PBEsol optimized geometry; energy of formation from the pure elements = -0.528 eV/atom
1.0
5.9627 0.0000 0.0000
-2.9814 5.1638 0.0000
0.0000 0.0000 3.5750
Ni P Pd
3 3 3
Cartesian
-2.2241 3.8523 0.0000
0.7572 1.3116 0.0000
4.4482 0.0000 0.0000
0.0000 0.0000 1.7875
0.0000 3.4426 0.0000
2.9814 1.7213 0.0000
-1.2048 2.0868 1.7875
2.4096 0.0000 1.7875
1.7765 3.0770 1.7875

=====

No. 7
NiMo2Rh PBEsol optimized geometry; energy of formation from the pure elements = -0.019 eV/atom
1.0
2.6644 0.0000 0.0000
-1.3183 4.3673 0.0000
-0.0053 -0.7132 4.6992
Ni Mo Rh
1 2 1
Cartesian
0.0000 0.0000 0.0000
0.0069 1.6729 3.7414
0.0108 3.9835 2.3233
1.3423 1.9624 1.2627

=====

No. 8
K2ZnTeF PBEsol optimized geometry; raw formation energy = -4.2 eV per formula unit
1.0
5.2739 0.0000 0.0000
0.0000 5.2739 0.0000
0.0000 0.0000 5.1147
K Zn Te F
2 1 1 1
Cartesian
0.0000 2.6370 0.0000
2.6370 0.0000 0.0000
0.0000 0.0000 2.5574
2.6370 2.6370 2.5574
2.6370 2.6370 0.0000

=====

No. 9
TaMnAu2 PBEsol optimized geometry; energy of formation from the pure elements = 0.151 eV/atom
1.0
4.8599 0.0000 0.0000
0.0000 4.8599 0.0000
0.0000 0.0000 2.8231
Ta Mn Au
1 1 2
Cartesian
0.0000 0.0000 0.0000
2.4299 2.4299 0.0000
0.0000 2.4299 1.4115
2.4299 0.0000 1.4115

=====

No. 10
Al4Ag3 PBEsol optimized geometry; energy of formation from the pure elements = -0.041 eV/atom
1.0
3.7265 2.1515 2.3580
-3.7265 2.1515 2.3580
0.0000 -4.3030 2.3580
Al Ag
4 3
Cartesian
0.0000 0.0000 0.0000
-1.5806 -0.3079 4.6767
1.0570 -1.2149 4.6767
0.5236 1.5228 4.6767
-0.5082 -1.5892 2.3481
-1.1221 1.2347 2.3481
1.6304 0.3544 2.3481

=====

No. 11
Ir3Ru PBEsol optimized geometry; energy of formation from the pure elements = -0.026 eV/atom
1.0
2.6941 0.0000 0.0000
0.0000 3.8131 0.0000
0.0000 0.0000 5.3961
Ir Ru
3 1
Cartesian
0.0000 0.0000 0.0000
1.3471 1.9066 1.3646
1.3471 1.9066 4.0315
0.0000 0.0000 2.6981

=====

No. 12
AlBiTeN2 PBEsol optimized geometry; raw formation energy = 7.2 eV per formula unit
1.0
4.2604 0.0000 0.0000
0.0000 4.2604 0.0000
0.0000 0.0000 6.2807
Al Bi Te N
1 1 1 2
Cartesian
0.0000 0.0000 0.0000
2.1302 2.1302 3.1403
2.1302 2.1302 0.0000
0.0000 2.1302 3.1403
2.1302 0.0000 3.1403

=====

| no. | raw total energy (eV per atom) |
| --- | --- |
| 1 | -8.4135 |
| 2 | -3.5760 |
| 3 | -4.6893 |
| 4 | -7.4626 |
| 5 | -8.8429 |
| 6 | -6.4976 |
| 7 | -9.4771 |
| 8 | -2.6982 |
| 9 | -7.3888 |
| 10 | -3.7986 |
| 11 | -9.9367 |
| 12 | -4.3423 |